Material: PaS8Br2
Method: DFT, PBE
State: optimized geometry

The space group is P-1 (No. 2) and the conventional cell measures 5.620, 6.550 and 10.274 Å, with angles of 99.33, 105.11 and 106.71 degrees. The inequivalent atoms are Pa at (0.000, 0.000, 0.000), S at (0.059, 0.069, 0.731), S at (0.156, 0.454, 0.031), S at (0.205, 0.217, 0.283), S at (0.486, 0.913, 0.902) and Br at (0.135, 0.699, 0.362).

As for the volume: 338.0 Å³/cell. The calculation puts the raw formation energy at -356 meV/atom.